Material: YHoGeCl2
Method: DFT, GGA-PBE
State: optimized geometry

Cell lengths 4.0687, 4.0687, 9.6269 Å; angles 90.00, 90.00, 120.00 degrees
Fractional positions:
Cl  0.3333  0.6667  0.1710
Cl  0.6667  0.3333  0.8306
Ho  0.6667  0.3333  0.3322
Y  0.3333  0.6667  0.6676
Ge  0.0000  0.0000  0.4986

Properties
- E_tot: -0.405 Ry/atom
- V: 138.0 Å³ per cell
- Theoretical density: 4.78 Mg/m³